This record from Alexandria via LeMat-Bulk describes a relaxed ReNiIr4 crystal. The functional is PBE-GGA.

## Properties
Symmetry ... No. 216
Offset from the most stable computed form ... 0.634 eV per atom
ΔH_f (0 K) ... 0.611 eV per atom

Lattice parameters (Å, degrees): 5.0788 5.0788 5.0788 60.00 60.00 60.00
Fractional coordinates of all 6 atoms:
Re: 0.0000 0.0000 0.0000
Ni: 0.2500 0.2500 0.2500
Ir: 0.1258 0.6247 0.6247
Ir: 0.6247 0.1258 0.6247
Ir: 0.6247 0.6247 0.1258
Ir: 0.6247 0.6247 0.6247